A plane-wave DFT calculation with PBE was carried out for crystalline CdIn4Pb at its relaxed geometry.

The space group is C2/m (No. 12) and the conventional cell measures 7.146, 7.145 and 7.301 Å, with angles of 90.00, 90.08 and 90.00 degrees. The inequivalent atoms are Cd at (0.000, 0.000, 0.000), In at (0.250, 0.250, 0.235) and Pb at (0.000, 0.500, 0.500).

For the formation energy, the calculation gives 0.10 eV/atom. The value obtained for the energy above the most stable polymorph in this dataset is 0.00 eV per formula unit.

=====

A plane-wave DFT calculation with PBE was carried out for crystalline NaTl2Pb9 at its relaxed geometry.

The space group is P4/mmm (No. 123) and the conventional cell measures 4.954, 4.954 and 15.073 Å, with angles of 90.00, 90.00 and 90.00 degrees. The inequivalent atoms are Na at (0.000, 0.000, 0.000), Tl at (0.000, 0.000, 0.332), Pb at (0.000, 0.500, 0.163), Pb at (0.000, 0.500, 0.500), Pb at (0.500, 0.500, 0.000) and Pb at (0.500, 0.500, 0.331).

For the formation energy, the calculation gives -0.04 eV/atom.

=====

A plane-wave DFT calculation with PBE was carried out for crystalline Cs2PbNCl6 at its relaxed geometry.

The space group is I4/mmm (No. 139) and the conventional cell measures 7.127, 7.127 and 12.562 Å, with angles of 90.00, 90.00 and 90.00 degrees. The inequivalent atoms are Cs at (0.000, 0.500, 0.250), Pb at (0.000, 0.000, 0.000), N at (0.000, 0.000, 0.500), Cl at (0.000, 0.000, 0.223) and Cl at (0.218, 0.218, 0.500).

The uncorrected formation energy is -0.722 eV per atom.

=====

Number 1: density of states at the Fermi level 7.28 states/eV/cell, final energy -2.496 eV per atom, total moment 0.0 μB/f.u.. Number 2: density of states at the Fermi level 3.57 states/eV/cell, final energy -3.322 eV per atom, total moment 0.0 μB/f.u.. Number 3: density of states at the Fermi level 0.00 states/eV/cell, final energy -3.204 eV per atom, total moment 1.0 μB/f.u..